No. 1
Compound: TaSb2Mo
Source: the Alexandria database
Functional: meta-GGA SCAN
Structure: single point on PBEsol structure

Cell: 3.500 4.344 5.057 Å, 90.00 90.00 90.00°
Space group Pmmm (No. 47)
One atom of each set of equivalent atoms:
Ta1 0.000 0.000 0.000
Sb1 0.000 0.500 0.500
Sb2 0.500 0.500 0.000
Mo1 0.500 0.000 0.500

## Properties
**Total DFT energy (no corrections)**: -43.43 eV per atom

---

No. 2
Compound: ReIrI2
Source: the Alexandria database
Functional: meta-GGA SCAN
Structure: single point on PBEsol structure

Cell: 5.826 5.826 12.037 Å, 90.00 90.00 90.00°
Space group I-42d (No. 122)
One atom of each set of equivalent atoms:
Re1 0.000 0.000 0.000
Ir1 0.000 0.000 0.500
I1 0.249 0.250 0.125

## Properties
**Total DFT energy (no corrections)**: -52.45 eV per atom

---

No. 3
Compound: BaV2P2O10
Source: the Alexandria database
Functional: meta-GGA SCAN
Structure: single point on PBEsol structure

Cell: 5.231 9.209 16.192 Å, 90.00 92.94 90.00°
Space group P2_1/c (No. 14)
One atom of each set of equivalent atoms:
Ba1 0.002 0.204 0.318
V1 0.122 0.184 0.563
V2 0.457 0.548 0.341
P1 0.380 0.594 0.831
P2 0.390 0.701 0.526
O1 0.132 0.571 0.878
O2 0.152 0.696 0.025
O3 0.173 0.170 0.117
O4 0.194 0.023 0.801
O5 0.348 0.017 0.259
O6 0.350 0.217 0.472
O7 0.362 0.603 0.450
O8 0.374 0.058 0.617
O9 0.374 0.622 0.610
O10 0.390 0.750 0.296

## Properties
**Total DFT energy (no corrections)**: -13.29 eV per atom

---

No. 4
Compound: YTe2CN
Source: the Alexandria database
Functional: meta-GGA SCAN
Structure: single point on PBEsol structure

Cell: 5.974 5.974 2.729 Å, 90.00 90.00 90.00°
Space group P4/mmm (No. 123)
One atom of each set of equivalent atoms:
Y1 0.000 0.000 0.000
Te1 0.000 0.500 0.500
C1 0.500 0.500 0.500
N1 0.500 0.500 0.000

## Properties
**Total DFT energy (no corrections)**: -23.66 eV per atom

---

The following formation energy from raw total energies values (in eV per atom) correspond, in order, to the records above: 0.568 1.472 -2.777 0.685.